1.
Below is an optimized crystal structure of Sr2Li, with properties calculated at the GGA-PBE level.

Space-group type   Cmcm (63)
Calculated formation energy   31 kJ/mol of formula units
D(E_F)   3.582 states/eV/f.u.
Relative energy among the computed polymorphs   0.090 eV/atom
Crystal system   orthorhombic

abc: 10.234 10.234 6.614
angles: 90.00 90.00 156.88
Fractional positions:
Li 0.217 0.783 0.250
Li 0.783 0.217 0.750
Sr 0.134 0.866 0.750
Sr 0.866 0.134 0.250
Sr 0.559 0.441 0.250
Sr 0.441 0.559 0.750

2.
Below is an optimized crystal structure of SrTaRu2, with properties calculated at the GGA-PBE level.

Space-group type   Pmmm (47)
Calculated formation energy   317 kJ/mol of formula units
D(E_F)   4.065 states/eV/f.u.
Relative energy among the computed polymorphs   0.823 eV/atom
Crystal system   orthorhombic

abc: 3.280 5.184 4.373
angles: 90.00 90.00 90.00
Fractional positions:
Ta 0.000 0.500 0.500
Sr 0.500 0.000 0.500
Ru 0.500 0.500 0.000
Ru 0.000 0.000 0.000